(1)
## Sc3IrC4 (GGA-PBEsol)

Data for a relaxed Sc3IrC4 crystal.

Computed properties:
The value obtained for the formation energy is -0.573 eV per atom.

Cell: 6.6912 6.6912 5.5726 Å, 96.19 96.19 130.77°
Closest atoms and distances in Å follow each position.
Atoms (fractional coordinates):
Sc 0.1898 0.8102 0.0000  6 C 2.33-2.38
Sc 0.2377 0.2377 0.7634  8 C 2.38-2.44
Sc 0.3081 0.6919 0.5000  6 C 2.32-2.39
Sc 0.6919 0.3081 0.5000  6 C 2.32-2.39
Sc 0.7623 0.7623 0.2366  8 C 2.38-2.44
Sc 0.8102 0.1898 0.0000  6 C 2.33-2.38
Ir 0.2719 0.2719 0.2720  4 C 2.15-2.16
Ir 0.7281 0.7281 0.7280  4 C 2.15-2.16
C 0.0444 0.7905 0.5813  1 C 1.45
C 0.2095 0.9556 0.4187  1 C 1.45
C 0.2910 0.5472 0.0825  1 C 1.45
C 0.4528 0.7090 0.9175  1 C 1.45
C 0.5472 0.2910 0.0825  1 C 1.45
C 0.7090 0.4528 0.9175  1 C 1.45
C 0.7905 0.0444 0.5813  1 C 1.45
C 0.9556 0.2095 0.4187  1 C 1.45

=====

(2)
## YZr5O12 (GGA-PBEsol)

Data for a relaxed YZr5O12 crystal.

Computed properties:
Its total energy is -175.32 eV/cell.

Cell: 6.3217 6.3217 7.2719 Å, 107.04 107.04 47.91°
Closest atoms and distances in Å follow each position.
Atoms (fractional coordinates):
Y 0.0000 0.0000 0.0000  8 O 2.22-2.38
Zr 0.0081 0.9919 0.5000  6 O 2.08-2.32
Zr 0.3314 0.3355 0.1650  7 O 2.10-2.33
Zr 0.3327 0.3327 0.6656  4 O 2.06-2.09
Zr 0.6645 0.6686 0.8350  7 O 2.10-2.33
Zr 0.6673 0.6673 0.3344  4 O 2.06-2.09
O 0.0666 0.5678 0.9283  2 Zr 2.10
O 0.0957 0.5988 0.4016  2 Zr 2.08-2.11
O 0.2553 0.7182 0.7531  2 Zr 2.06-2.29, 1 Y 2.23
O 0.2818 0.7447 0.2469  2 Zr 2.06-2.29, 1 Y 2.23
O 0.4012 0.9043 0.5984  2 Zr 2.08-2.11
O 0.4322 0.9334 0.0717  2 Zr 2.10
O 0.5661 0.0679 0.4318  2 Zr 2.09
O 0.5753 0.1042 0.8985  1 Zr 2.06, 1 Y 2.22
O 0.7386 0.2289 0.2688  2 Zr 2.09-2.12
O 0.7711 0.2614 0.7312  2 Zr 2.09-2.12
O 0.8958 0.4247 0.1015  1 Zr 2.06, 1 Y 2.22
O 0.9321 0.4339 0.5682  2 Zr 2.09

=====

(3)
## ZnRu2Au2 (GGA-PBEsol)

Data for a relaxed ZnRu2Au2 crystal.

Computed properties:
The value obtained for the formation energy is 0.718 eV per atom.

Cell: 6.7335 6.7335 6.7335 Å, 148.15 148.15 45.66°
Closest atoms and distances in Å follow each position.
Atoms (fractional coordinates):
Zn 0.0000 0.0000 0.0000  8 Ru 2.84
Ru 0.4105 0.4105 0.0000  1 Ru 2.22
Ru 0.5895 0.5895 0.0000  1 Ru 2.22
Au 0.2500 0.7500 0.5000  4 Au 2.61, 4 Ru 2.72
Au 0.7500 0.2500 0.5000  4 Au 2.61, 4 Ru 2.72

=====

(4)
## CsLi3Ni (GGA-PBEsol)

Data for a relaxed CsLi3Ni crystal.

Computed properties:
The value obtained for the formation energy is 0.380 eV per atom.

Cell: 5.0436 5.0436 5.0436 Å, 90.00 90.00 90.00°
Closest atoms and distances in Å follow each position.
Atoms (fractional coordinates):
Cs 0.0000 0.0000 0.0000  12 Li 3.57
Li 0.0000 0.5000 0.5000  2 Ni 2.52
Li 0.5000 0.0000 0.5000  2 Ni 2.52
Li 0.5000 0.5000 0.0000  2 Ni 2.52
Ni 0.5000 0.5000 0.5000  6 Li 2.52

=====

(5)
## Zr2ZnPt (GGA-PBEsol)

Data for a relaxed Zr2ZnPt crystal.

Computed properties:
The value obtained for the formation energy is -0.579 eV per atom.

Cell: 4.9769 4.9769 4.9769 Å, 130.02 130.02 73.37°
Closest atoms and distances in Å follow each position.
Atoms (fractional coordinates):
Zr 0.2500 0.7500 0.5000  4 Pt 2.90, 4 Zn 2.90, 4 Zr 2.97
Zr 0.7500 0.2500 0.5000  4 Pt 2.90, 4 Zn 2.90, 4 Zr 2.97
Zn 0.0000 0.0000 0.0000  8 Zr 2.90, 4 Pt 2.97
Pt 0.5000 0.5000 0.0000  8 Zr 2.90, 4 Zn 2.97

=====

(6)
## SrCaLa2 (GGA-PBEsol)

Data for a relaxed SrCaLa2 crystal.

Computed properties:
The value obtained for the formation energy is 0.099 eV per atom. For the energy relative to the lowest polymorph listed for this composition, the calculation gives 0.042 eV per atom.

Cell: 3.7668 5.0875 8.1823 Å, 90.00 90.00 90.00°
Closest atoms and distances in Å follow each position.
Atoms (fractional coordinates):
Sr 0.0000 0.0000 0.0000  5 La 3.75-3.91, 2 Sr 3.77, 4 Ca 3.93
Ca 0.5000 0.5000 0.7156  5 La 3.56-3.80, 2 Ca 3.77, 4 Sr 3.93
La 0.0000 0.0000 0.4588  6 La 3.48-3.77, 1 Sr 3.75, 4 Ca 3.80
La 0.5000 0.5000 0.2810  6 La 3.48-3.77, 1 Ca 3.56

=====

(7)
## Mg2P2H12O13 (GGA-PBEsol)

Data for a relaxed Mg2P2H12O13 crystal.

Computed properties:
Its total energy is -681.69 eV/cell.

Cell: 7.2115 18.1304 10.1854 Å, 90.00 132.05 90.00°
Closest atoms and distances in Å follow each position.
Atoms (fractional coordinates):
Mg 0.0000 0.0000 0.0000  6 O 2.03-2.14
Mg 0.0000 0.0000 0.5000  6 O 2.08-2.11
Mg 0.0000 0.5000 0.0000  6 O 2.08-2.11
Mg 0.0000 0.5000 0.5000  6 O 2.03-2.14
Mg 0.3240 0.2414 0.0299  6 O 2.07-2.13
Mg 0.3240 0.2586 0.5299  6 O 2.07-2.13
Mg 0.6760 0.7414 0.4701  6 O 2.07-2.13
Mg 0.6760 0.7586 0.9701  6 O 2.07-2.13
P 0.1564 0.1042 0.3225  4 O 1.52-1.63
P 0.1564 0.3958 0.8225  4 O 1.52-1.63
P 0.5000 0.0966 0.7024  4 O 1.52-1.63
P 0.5000 0.4034 0.2024  4 O 1.52-1.63
P 0.5000 0.5966 0.7976  4 O 1.52-1.63
P 0.5000 0.9034 0.2976  4 O 1.52-1.63
P 0.8436 0.6042 0.1775  4 O 1.52-1.63
P 0.8436 0.8958 0.6775  4 O 1.52-1.63
H 0.0264 0.6184 0.8468  1 O 1.01
H 0.0264 0.8816 0.3468  1 O 1.01
H 0.0601 0.2121 0.1122  1 O 1.00
H 0.0601 0.2879 0.6122  1 O 1.00
H 0.0771 0.6708 0.5691  1 O 1.01
H 0.0771 0.8292 0.0691  1 O 1.01
H 0.1945 0.7306 0.3448  1 O 0.99
H 0.1945 0.7694 0.8448  1 O 0.99
H 0.2081 0.5117 0.3714  1 O 1.01
H 0.2081 0.9883 0.8714  1 O 1.01
H 0.2634 0.1057 0.9066  1 O 1.01
H 0.2634 0.3943 0.4066  1 O 1.01
H 0.2916 0.5798 0.9675  1 O 0.99
H 0.2916 0.9202 0.4675  1 O 0.99
H 0.3079 0.1626 0.8040  1 O 1.01
H 0.3079 0.3374 0.3040  1 O 1.01
H 0.3238 0.6462 0.1700  1 O 0.99
H 0.3238 0.8538 0.6700  1 O 0.99
H 0.3767 0.7323 0.0372  1 O 0.99
H 0.3767 0.7677 0.5372  1 O 0.99
H 0.3900 0.1304 0.2217  1 O 1.01
H 0.3900 0.3696 0.7217  1 O 1.01
H 0.4238 0.0023 0.0876  1 O 1.01
H 0.4238 0.4977 0.5876  1 O 1.01
H 0.5762 0.5023 0.4124  1 O 1.01
H 0.5762 0.9977 0.9124  1 O 1.01
H 0.6100 0.6304 0.2783  1 O 1.01
H 0.6100 0.8696 0.7783  1 O 1.01
H 0.6233 0.2323 0.4628  1 O 0.99
H 0.6233 0.2677 0.9628  1 O 0.99
H 0.6762 0.1462 0.3300  1 O 0.99
H 0.6762 0.3538 0.8300  1 O 0.99
H 0.6921 0.6626 0.6960  1 O 1.01
H 0.6921 0.8374 0.1960  1 O 1.01
H 0.7084 0.0798 0.5325  1 O 0.99
H 0.7084 0.4202 0.0325  1 O 0.99
H 0.7366 0.6057 0.5934  1 O 1.01
H 0.7366 0.8943 0.0934  1 O 1.01
H 0.7919 0.0117 0.1286  1 O 1.01
H 0.7919 0.4883 0.6286  1 O 1.01
H 0.8055 0.2306 0.1552  1 O 0.99
H 0.8055 0.2694 0.6552  1 O 0.99
H 0.9229 0.1708 0.9309  1 O 1.01
H 0.9229 0.3292 0.4309  1 O 1.01
H 0.9399 0.7121 0.3878  1 O 1.00
H 0.9399 0.7879 0.8878  1 O 1.00
H 0.9736 0.1184 0.6532  1 O 1.01
H 0.9736 0.3816 0.1532  1 O 1.01
O 0.0139 0.2178 0.9961  2 H 1.00-1.01
O 0.0139 0.2822 0.4961  2 H 1.00-1.01
O 0.0360 0.5626 0.1871  1 P 1.52, 1 H 1.67
O 0.0360 0.9374 0.6871  1 P 1.52, 1 H 1.67
O 0.1213 0.1883 0.3089  1 P 1.54
O 0.1213 0.3117 0.8089  1 P 1.54
O 0.1470 0.5880 0.9575  2 H 0.99-1.01
O 0.1470 0.9120 0.4575  2 H 0.99-1.01
O 0.1873 0.0752 0.1980  1 P 1.52, 1 H 1.65
O 0.1873 0.4248 0.6980  1 P 1.52, 1 H 1.65
O 0.2183 0.1558 0.8483  2 H 1.01
O 0.2183 0.3442 0.3483  2 H 1.01
O 0.2181 0.5886 0.6598  1 P 1.52, 1 H 1.69
O 0.2181 0.9114 0.1598  1 P 1.52, 1 H 1.69
O 0.2635 0.0217 0.9718  2 H 1.01
O 0.2635 0.4783 0.4718  2 H 1.01
O 0.3575 0.7441 0.9341  2 H 0.99
O 0.3575 0.7559 0.4341  2 H 0.99
O 0.3629 0.0351 0.7111  1 P 1.53, 1 H 1.67
O 0.3629 0.4649 0.2111  1 P 1.53, 1 H 1.67
O 0.4057 0.1730 0.6971  1 P 1.53, 1 H 1.66
O 0.4057 0.3270 0.1971  1 P 1.53, 1 H 1.66
O 0.4316 0.0870 0.5149  2 P 1.63
O 0.4316 0.4130 0.0149  2 P 1.63
O 0.4912 0.6687 0.2581  2 H 0.99-1.01
O 0.4912 0.8313 0.7581  2 H 0.99-1.01
O 0.5088 0.1687 0.2419  2 H 0.99-1.01
O 0.5088 0.3313 0.7419  2 H 0.99-1.01
O 0.5684 0.5870 0.9851  2 P 1.63
O 0.5684 0.9130 0.4851  2 P 1.63
O 0.5943 0.6730 0.8029  1 P 1.53, 1 H 1.66
O 0.5943 0.8270 0.3029  1 P 1.53, 1 H 1.66
O 0.6371 0.5351 0.7889  1 P 1.53, 1 H 1.67
O 0.6371 0.9649 0.2889  1 P 1.53, 1 H 1.67
O 0.6425 0.2441 0.5659  2 H 0.99
O 0.6425 0.2559 0.0659  2 H 0.99
O 0.7365 0.5217 0.5282  2 H 1.01
O 0.7365 0.9783 0.0282  2 H 1.01
O 0.7819 0.0886 0.8402  1 P 1.52, 1 H 1.69
O 0.7819 0.4114 0.3402  1 P 1.52, 1 H 1.69
O 0.7817 0.6558 0.6517  2 H 1.01
O 0.7817 0.8442 0.1517  2 H 1.01
O 0.8127 0.5752 0.3020  1 P 1.52, 1 H 1.65
O 0.8127 0.9248 0.8020  1 P 1.52, 1 H 1.65
O 0.8530 0.0880 0.5425  2 H 0.99-1.01
O 0.8530 0.4120 0.0425  2 H 0.99-1.01
O 0.8787 0.6883 0.1911  1 P 1.54
O 0.8787 0.8117 0.6911  1 P 1.54
O 0.9640 0.0626 0.3129  1 P 1.52, 1 H 1.67
O 0.9640 0.4374 0.8129  1 P 1.52, 1 H 1.67
O 0.9861 0.7178 0.5039  2 H 1.00-1.01
O 0.9861 0.7822 0.0039  2 H 1.00-1.01

=====

(8)
## MnPO4 (GGA-PBEsol)

Data for a relaxed MnPO4 crystal.

Computed properties:
Its total energy is -191.40 eV/cell.

Cell: 8.2572 4.7392 8.9938 Å, 90.00 110.33 90.00°
Closest atoms and distances in Å follow each position.
Atoms (fractional coordinates):
Mn 0.0292 0.0000 0.1701  4 O 1.86-1.97
Mn 0.4553 0.3550 0.7430  4 O 1.83-1.89
Mn 0.5447 0.8550 0.2570  4 O 1.83-1.89
Mn 0.9708 0.5000 0.8299  4 O 1.86-1.97
P 0.2367 0.0459 0.9289  4 O 1.52-1.59
P 0.2571 0.5085 0.3680  4 O 1.53-1.54
P 0.7429 0.0085 0.6320  4 O 1.53-1.54
P 0.7633 0.5459 0.0711  4 O 1.52-1.59
O 0.0976 0.7002 0.3136  1 P 1.53
O 0.1062 0.2224 0.9863  1 P 1.59
O 0.1589 0.7561 0.8735  1 P 1.52
O 0.2081 0.2023 0.3138  1 P 1.54
O 0.2681 0.2132 0.7956  1 P 1.53
O 0.3321 0.5124 0.5505  1 P 1.54
O 0.3934 0.6073 0.2982  1 P 1.54
O 0.4089 0.0148 0.0683  1 P 1.54
O 0.5911 0.5148 0.9317  1 P 1.54
O 0.6066 0.1073 0.7018  1 P 1.54
O 0.6679 0.0124 0.4495  1 P 1.54
O 0.7319 0.7132 0.2044  1 P 1.53
O 0.7919 0.7023 0.6862  1 P 1.54
O 0.8411 0.2561 0.1265  1 P 1.52
O 0.8938 0.7224 0.0137  1 P 1.59
O 0.9024 0.2002 0.6864  1 P 1.53

=====

(9)
## Tl2TcRh (GGA-PBEsol)

Data for a relaxed Tl2TcRh crystal.

Computed properties:
The value obtained for the formation energy is 0.440 eV per atom. For the energy relative to the lowest polymorph listed for this composition, the calculation gives 0.119 eV per atom.

Cell: 5.4552 5.4552 4.9013 Å, 109.83 109.83 31.35°
Closest atoms and distances in Å follow each position.
Atoms (fractional coordinates):
Tl 0.0000 0.0000 0.0000  3 Tc 2.83-2.93, 4 Rh 2.84-2.94, 3 Tl 2.95-3.02
Tl 0.2157 0.2157 0.6028  3 Rh 2.80-2.96, 4 Tc 2.83-2.94, 3 Tl 2.95-3.02
Tc 0.7550 0.7550 0.1187  2 Rh 2.67, 7 Tl 2.83-2.94, 2 Tc 2.95
Rh 0.4568 0.4568 0.4792  2 Tc 2.67, 7 Tl 2.80-2.96, 2 Rh 2.95

=====

(10)
## Sr2PbW (GGA-PBEsol)

Data for a relaxed Sr2PbW crystal.

Computed properties:
The value obtained for the formation energy is 0.726 eV per atom.

Cell: 3.1971 5.2837 6.2675 Å, 90.00 90.12 90.00°
Closest atoms and distances in Å follow each position.
Atoms (fractional coordinates):
Sr 0.0000 0.0000 0.0000  4 Sr 3.20-3.36, 2 Pb 3.27, 4 W 3.33
Sr 0.0032 0.5000 0.6700  4 Sr 3.20-3.36, 2 W 3.35, 4 Pb 3.37
Pb 0.5023 0.0000 0.4550  2 W 3.09, 2 Pb 3.20, 6 Sr 3.27-3.37
W 0.5015 0.5000 0.2002  2 Pb 3.09, 2 W 3.20, 6 Sr 3.33-3.35

=====

(11)
## Li3TlZn (GGA-PBEsol)

Data for a relaxed Li3TlZn crystal.

Computed properties:
The value obtained for the formation energy is 0.109 eV per atom.

Cell: 4.7056 4.7056 4.7056 Å, 90.00 90.00 90.00°
Closest atoms and distances in Å follow each position.
Atoms (fractional coordinates):
Li 0.0000 0.0000 0.5000  2 Zn 2.35
Li 0.0000 0.5000 0.0000  2 Zn 2.35
Li 0.5000 0.0000 0.0000  2 Zn 2.35
Tl 0.5000 0.5000 0.5000  12 Li 3.33
Zn 0.0000 0.0000 0.0000  6 Li 2.35

=====

(12)
## Fe2SbOs (GGA-PBEsol)

Data for a relaxed Fe2SbOs crystal.

Computed properties:
Its total energy is -33.33 eV/cell.

Cell: 3.8076 3.8076 3.8761 Å, 90.00 90.00 90.00°
Closest atoms and distances in Å follow each position.
Atoms (fractional coordinates):
Fe 0.0000 0.5000 0.0000  4 Fe 2.69, 4 Os 2.72, 4 Sb 2.72
Fe 0.5000 0.0000 0.0000  4 Fe 2.69, 4 Os 2.72, 4 Sb 2.72
Sb 0.0000 0.0000 0.5000  4 Os 2.69, 8 Fe 2.72
Os 0.5000 0.5000 0.5000  4 Sb 2.69, 8 Fe 2.72